! La7Zn2Rh2 PBE-GGA optimized geometry; values from VASP
&SYSTEM
  ibrav = 0, nat = 11, ntyp = 3
/
ATOMIC_SPECIES
La 138.91 La.upf
Zn 65.41 Zn.upf
Rh 102.91 Rh.upf
CELL_PARAMETERS angstrom
-6.8934 1.0427 -0.7934
-0.1818 -5.1119 -5.1396
1.1649 -4.9265 4.8588
ATOMIC_POSITIONS angstrom
La -2.9984 -5.7162 -1.7620
La -2.3300 -5.7623 3.0975
Zn -4.9117 -5.8244 0.8515
La -2.9118 -3.2795 0.6879
La -3.5803 -3.2334 -4.1716
La -6.4444 -5.1752 -2.1390
La 0.0000 0.0000 0.0000
Zn -0.9985 -3.1713 -1.9256
La 0.5341 -3.8205 1.0649
Rh -4.5009 -0.7296 0.8847
Rh -1.4094 -8.2660 -1.9588
! Total magnetization, Bohr magnetons per cell: 0.00
! Formation energy, eV per formula unit: -3.53
! Calculated total energy, eV/atom: -5.025
! ρ, g/cm3: 6.49

! V2PdW2 PBE-GGA optimized geometry; values from VASP
&SYSTEM
  ibrav = 0, nat = 5, ntyp = 3
/
ATOMIC_SPECIES
Pd 106.42 Pd.upf
W 183.84 W.upf
V 50.94 V.upf
CELL_PARAMETERS angstrom
-1.8968 2.6936 -1.5613
-2.4739 -0.1940 2.6708
1.0230 5.4066 3.8286
ATOMIC_POSITIONS angstrom
Pd 0.0000 0.0000 0.0000
W -1.8181 3.2312 3.5270
V -1.6867 5.9771 3.8483
W -1.5296 4.6750 1.4110
V -1.6610 1.9291 1.0898
! Total magnetization, Bohr magnetons per cell: 0.00
! Formation energy, eV per formula unit: 3.84
! Calculated total energy, eV/atom: -9.100
! ρ, g/cm3: 11.63
! Offset from the most stable computed form, eV per atom: 0.3871

Copy entry 1 word for word.
! La7Zn2Rh2 PBE-GGA optimized geometry; values from VASP
&SYSTEM
  ibrav = 0, nat = 11, ntyp = 3
/
ATOMIC_SPECIES
La 138.91 La.upf
Zn 65.41 Zn.upf
Rh 102.91 Rh.upf
CELL_PARAMETERS angstrom
-6.8934 1.0427 -0.7934
-0.1818 -5.1119 -5.1396
1.1649 -4.9265 4.8588
ATOMIC_POSITIONS angstrom
La -2.9984 -5.7162 -1.7620
La -2.3300 -5.7623 3.0975
Zn -4.9117 -5.8244 0.8515
La -2.9118 -3.2795 0.6879
La -3.5803 -3.2334 -4.1716
La -6.4444 -5.1752 -2.1390
La 0.0000 0.0000 0.0000
Zn -0.9985 -3.1713 -1.9256
La 0.5341 -3.8205 1.0649
Rh -4.5009 -0.7296 0.8847
Rh -1.4094 -8.2660 -1.9588
! Total magnetization, Bohr magnetons per cell: 0.00
! Formation energy, eV per formula unit: -3.53
! Calculated total energy, eV/atom: -5.025
! ρ, g/cm3: 6.49

- What is the formation energy in the second record?
  3.84 eV per formula unit

- What is the formula in the first record?
  La7Zn2Rh2